Entry 1:
# Be4As3H (GGA-PBE, optimized geometry)
# symmetry: Pmn2_1 (31)
# E_tot: -3.923 eV per atom
# total moment: 0.00 μB per formula unit
data_Be4As3H
_chemical_formula_sum 'Be8 As6 H2'
_space_group_name_H-M_alt 'P 1'
_space_group_IT_number 1
_cell_length_a 5.753
_cell_length_b 7.107
_cell_length_c 5.712
_cell_angle_alpha 90.00
_cell_angle_beta 90.00
_cell_angle_gamma 90.00
loop_
_space_group_symop_operation_xyz
'x,y,z'
loop_
_atom_site_label
_atom_site_type_symbol
_atom_site_fract_x
_atom_site_fract_y
_atom_site_fract_z
Be1 Be 0.000 0.186 0.000
Be2 Be 0.000 0.798 0.520
Be3 Be 0.229 0.312 0.611
Be4 Be 0.271 0.688 0.111
Be5 Be 0.500 0.202 0.020
Be6 Be 0.500 0.814 0.500
Be7 Be 0.729 0.688 0.111
Be8 Be 0.771 0.312 0.611
As1 As 0.000 0.907 0.175
As2 As 0.239 0.381 0.221
As3 As 0.261 0.619 0.721
As4 As 0.500 0.093 0.675
As5 As 0.739 0.619 0.721
As6 As 0.761 0.381 0.221
H1 H 0.000 0.232 0.727
H2 H 0.500 0.768 0.227


Entry 2:
# BeAsH2 (GGA-PBE, optimized geometry)
# symmetry: I4_1/amd (141)
# E_tot: -3.365 eV per atom
# excess energy over the best structure of this formula in the dataset: 407.0 meV/atom
# total moment: 0.00 μB per formula unit
data_BeAsH2
_chemical_formula_sum 'Be2 As2 H4'
_space_group_name_H-M_alt 'P 1'
_space_group_IT_number 1
_cell_length_a 4.765
_cell_length_b 4.765
_cell_length_c 4.765
_cell_angle_alpha 120.08
_cell_angle_beta 120.08
_cell_angle_gamma 89.85
loop_
_space_group_symop_operation_xyz
'x,y,z'
loop_
_atom_site_label
_atom_site_type_symbol
_atom_site_fract_x
_atom_site_fract_y
_atom_site_fract_z
Be1 Be 0.375 0.625 0.750
Be2 Be 0.625 0.375 0.250
As1 As 0.125 0.875 0.250
As2 As 0.875 0.125 0.750
H1 H 0.000 0.500 0.500
H2 H 0.500 0.000 0.000
H3 H 0.500 0.500 0.000
H4 H 0.500 0.500 0.500